A relaxed Mg2CdIn6 crystal, computed with PBE.

Properties
DOS at the Fermi energy: 3.38 states/eV/cell
ρ: 6.1 g/cm³
energy of formation: 0.00 eV per atom

Unit cell a=7.529 b=7.529 c=11.036 alpha=117.96 beta=117.96 gamma=25.05
Sites, in units of the cell vectors:
Mg 0.129 0.129 0.257
Mg 0.871 0.871 0.743
Cd 0.500 0.500 0.000
In 0.165 0.165 0.555
In 0.265 0.265 0.890
In 0.458 0.458 0.292
In 0.542 0.542 0.708
In 0.735 0.735 0.110
In 0.835 0.835 0.445